(1)
DFT (PBE) results for an optimized crystal structure of PmDy4Pt4.

Output
Total magnetization (μB per formula unit): 0.00
Formation enthalpy at 0 K (eV per atom): -1.04
ρ (g/cm3): 11.0
Space-group type: P4_2/n

Cell: 5.737 9.097 9.097 Å, 90.00 90.00 90.00°
Element x y z (fractional)
Dy 0.081 0.170 0.599
Pm 0.000 0.000 0.000
Dy 0.581 0.099 0.330
Dy 0.419 0.330 0.901
Pt 0.919 0.290 0.874
Dy 0.419 0.670 0.099
Dy 0.919 0.599 0.830
Pt 0.919 0.710 0.126
Pt 0.581 0.210 0.626
Pt 0.581 0.790 0.374
Pt 0.419 0.626 0.790
Dy 0.581 0.901 0.670
Pt 0.081 0.874 0.710
Pt 0.081 0.126 0.290
Pt 0.419 0.374 0.210
Dy 0.919 0.401 0.170
Dy 0.081 0.830 0.401
Pm 0.500 0.500 0.500



(2)
DFT (PBE) results for an optimized crystal structure of LiLaNd2Tl4.

Output
Total magnetization (μB per formula unit): 0.00
Formation enthalpy at 0 K (eV per atom): -0.36
ρ (g/cm3): 9.0
Space-group type: R-3m

Cell: 5.380 5.380 9.734 Å, 73.96 73.96 60.00°
Element x y z (fractional)
Li 0.500 0.500 0.500
Tl 0.622 0.622 0.133
La 0.000 0.000 0.000
Tl 0.127 0.127 0.618
Nd 0.243 0.243 0.271
Tl 0.873 0.873 0.382
Tl 0.378 0.378 0.867
Nd 0.757 0.757 0.729



(3)
DFT (PBE) results for an optimized crystal structure of BaGaH.

Output
Total magnetization (μB per formula unit): 0.00
E above lowest polymorph (eV/atom): 0.103
ρ (g/cm3): 4.2
Space-group type: C2/m

Cell: 8.048 4.601 11.760 Å, 90.00 130.51 90.00°
Element x y z (fractional)
Ga 0.402 0.500 0.744
H 0.217 0.000 0.050
Ga 0.598 0.000 0.756
H 0.783 0.500 0.450
H 0.217 0.500 0.550
Ga 0.598 0.500 0.256
Ga 0.402 0.000 0.244
Ba 0.500 0.000 0.000
Ba 0.500 0.500 0.500
Ba 0.000 0.000 0.500
H 0.783 0.000 0.950
Ba 0.000 0.500 0.000



(4)
DFT (PBE) results for an optimized crystal structure of ScTa2Cu.

Output
Total magnetization (μB per formula unit): 0.00
E above lowest polymorph (eV/atom): 0.400
Formation enthalpy at 0 K (eV per atom): 0.47
ρ (g/cm3): 11.3
Space-group type: Fm-3m

Cell: 4.603 4.603 4.603 Å, 60.00 60.00 60.00°
Element x y z (fractional)
Ta 0.250 0.250 0.250
Sc 0.000 0.000 0.000
Ta 0.750 0.750 0.750
Cu 0.500 0.500 0.500



(5)
DFT (PBE) results for an optimized crystal structure of SrCa2La.

Output
Total magnetization (μB per formula unit): 0.00
E above lowest polymorph (eV/atom): 0.000
Formation enthalpy at 0 K (eV per atom): 0.06
ρ (g/cm3): 3.0
Space-group type: R-3m

Cell: 13.258 13.258 13.258 Å, 16.93 16.93 16.93°
Element x y z (fractional)
La 0.250 0.250 0.250
Sr 0.750 0.750 0.750
Ca 0.504 0.504 0.504
Ca 0.996 0.996 0.996



(6)
DFT (PBE) results for an optimized crystal structure of BaAlW2.

Output
Total magnetization (μB per formula unit): 0.00
Formation enthalpy at 0 K (eV per atom): 0.63
ρ (g/cm3): 9.2
Space-group type: Cm

Cell: 4.557 4.557 7.232 Å, 83.39 83.39 40.21°
Element x y z (fractional)
Ba 0.759 0.759 0.753
W 0.249 0.249 0.239
W 0.978 0.978 0.101
Al 0.514 0.514 0.406



(7)
DFT (PBE) results for an optimized crystal structure of Ce6HgAu3.

Output
Total magnetization (μB per formula unit): 3.88
Formation enthalpy at 0 K (eV per atom): -0.29
ρ (g/cm3): 10.6
Space-group type: P2_1/c

Cell: 5.698 8.838 10.164 Å, 90.00 89.84 90.00°
Last column: magnetic moment on the atom in μB.
Element x y z (fractional)
Ce 0.521 0.152 0.939  0.58
Au 0.500 0.500 0.000  0.00
Au 0.265 0.114 0.250  0.00
Ce 0.676 0.340 0.244  0.58
Ce 0.176 0.160 0.744  0.58
Au 0.000 0.000 0.500  0.00
Au 0.735 0.886 0.750  0.00
Ce 0.324 0.660 0.756  0.58
Ce 0.031 0.354 0.055  0.55
Ce 0.969 0.646 0.945  0.55
Ce 0.531 0.146 0.555  0.55
Au 0.765 0.386 0.750  0.00
Ce 0.021 0.348 0.439  0.58
Ce 0.479 0.848 0.061  0.58
Hg 0.000 0.000 0.000  0.00
Au 0.235 0.614 0.250  0.00
Ce 0.824 0.840 0.256  0.58
Ce 0.469 0.854 0.445  0.55
Hg 0.500 0.500 0.500  0.00
Ce 0.979 0.652 0.561  0.58



(8)
DFT (PBE) results for an optimized crystal structure of CaMoPb2.

Output
Total magnetization (μB per formula unit): 3.23
E above lowest polymorph (eV/atom): 0.446
Formation enthalpy at 0 K (eV per atom): 0.65
ρ (g/cm3): 7.7
Space-group type: I-42d

Cell: 4.835 4.835 10.777 Å, 77.04 77.04 90.00°
Last column: magnetic moment on the atom in μB.
Element x y z (fractional)
Mo 0.750 0.250 0.500  2.63
Pb 0.375 0.331 0.750  -0.04
Mo 0.000 0.000 0.000  2.63
Ca 0.250 0.750 0.500  0.04
Pb 0.081 0.625 0.250  -0.03
Pb 0.669 0.125 0.250  -0.03
Pb 0.875 0.919 0.750  -0.04
Ca 0.500 0.500 0.000  0.04



(9)
DFT (PBE) results for an optimized crystal structure of YPaPb2S6.

Output
Formation energy from raw total energies (kcal/mol of atoms): -29.23
Total magnetization (μB per formula unit): 0.00
ρ (g/cm3): 5.6
Space-group type: R3

Cell: 7.204 7.204 7.419 Å, 60.95 60.95 60.00°
Element x y z (fractional)
Pa 0.321 0.321 0.037
Pb 0.024 0.024 0.927
Pb 0.527 0.527 0.420
S 0.587 0.179 0.262
S 0.179 0.973 0.262
S 0.674 0.100 0.767
Y 0.819 0.819 0.544
S 0.973 0.587 0.262
S 0.459 0.674 0.767
S 0.100 0.459 0.767



(10)
DFT (PBE) results for an optimized crystal structure of MnCr3Se8.

Output
Formation energy from raw total energies (kcal/mol of atoms): -10.67
Total magnetization (μB per formula unit): 9.51
ρ (g/cm3): 5.2
Space-group type: C2/m

Cell: 6.937 6.956 7.624 Å, 117.28 90.00 119.91°
Last column: magnetic moment on the atom in μB.
Element x y z (fractional)
Se 0.242 0.483 0.228  -0.17
Se 0.255 0.013 0.772  -0.17
Se 0.758 0.013 0.772  -0.17
Se 0.758 0.517 0.772  -0.17
Cr 0.500 0.500 0.000  2.56
Se 0.257 0.514 0.771  -0.20
Mn 0.000 0.000 0.000  3.04
Se 0.242 0.987 0.228  -0.17
Se 0.745 0.987 0.228  -0.17
Cr 0.000 0.500 0.000  2.56
Se 0.743 0.486 0.229  -0.20
Cr 0.500 0.000 0.000  2.56



(11)
DFT (PBE) results for an optimized crystal structure of CaLa3Pm3.

Output
Total magnetization (μB per formula unit): 0.00
Formation enthalpy at 0 K (eV per atom): 0.14
ρ (g/cm3): 5.6
Space-group type: P-1

Cell: 9.134 8.771 9.283 Å, 61.53 58.36 61.21°
Element x y z (fractional)
La 0.936 0.248 0.354
Pm 0.921 0.724 0.083
Ca 0.376 0.414 0.964
La 0.424 0.930 0.276
La 0.248 0.362 0.450
Pm 0.294 0.902 0.752
La 0.576 0.070 0.724
Pm 0.079 0.276 0.917
La 0.752 0.638 0.550
Ca 0.624 0.586 0.036
Pm 0.870 0.160 0.785
Pm 0.706 0.098 0.248
La 0.064 0.752 0.646
Pm 0.130 0.840 0.215



(12)
DFT (PBE) results for an optimized crystal structure of ZrRe2Te.

Output
Formation energy from raw total energies (kcal/mol of atoms): 9.32
Total magnetization (μB per formula unit): 0.00
ρ (g/cm3): 13.0
Space-group type: R3m

Cell: 9.349 9.349 9.349 Å, 19.01 19.01 19.01°
Element x y z (fractional)
Re 0.257 0.257 0.257
Re 0.993 0.993 0.993
Te 0.504 0.504 0.504
Zr 0.746 0.746 0.746



- Which of these has the highest total magnetization?
  MnCr3Se8